The following is a DFT calculation (GGA-PBE) of crystalline Li3AcTl2 at its relaxed geometry.

Structure (CIF):
```
data_Li3AcTl2
_chemical_formula_sum 'Li6 Ac2 Tl4'
_cell_length_a 4.906
_cell_length_b 4.906
_cell_length_c 14.576
_cell_angle_alpha 90.00
_cell_angle_beta 90.00
_cell_angle_gamma 120.00
_space_group_name_H-M_alt 'P 1'
_space_group_IT_number 1
_space_group_name_Hall 'P 1'
loop_
_atom_site_label
_atom_site_type_symbol
_atom_site_fract_x
_atom_site_fract_y
_atom_site_fract_z
Li1 Li 0.000 0.000 0.500
Li2 Li 0.000 0.000 0.000
Li3 Li 0.667 0.333 0.574
Li4 Li 0.333 0.667 0.074
Li5 Li 0.667 0.333 0.926
Li6 Li 0.333 0.667 0.426
Ac1 Ac 0.000 0.000 0.250
Ac2 Ac 0.000 0.000 0.750
Tl1 Tl 0.667 0.333 0.383
Tl2 Tl 0.333 0.667 0.617
Tl3 Tl 0.333 0.667 0.883
Tl4 Tl 0.667 0.333 0.117
```

Properties
Energy above the lowest structure with this stoichiometry in meV per atom: 0.0
Total DFT energy (no corrections) in eV/atom: -2.683
ΔE_f in eV/f.u.: -1.5
Space group: P6_3/mmc, No. 194